La6CoSn2O | GGA+U | relaxed

For the total energy, the calculation gives -55.8 eV per cell. The spin magnetization is 0.00 μB per formula unit.

Unit cell a=7.4640 b=7.4637 c=7.3388 alpha=60.36 beta=60.36 gamma=91.58
Element x y z (fractional)
La (0.2518, 0.2520, 0.0000)
La (0.7482, 0.7480, 0.0000)
La (0.7512, 0.7512, 0.4976)
La (0.7372, 0.2626, 0.0000)
La (0.2628, 0.7374, 0.0000)
La (0.2488, 0.2488, 0.5024)
Co (0.0000, 0.0000, 0.0000)
Sn (0.2500, 0.7500, 0.5000)
Sn (0.7500, 0.2500, 0.5000)
O (0.5000, 0.5000, 0.0000)